Entry 1:
Pr2MgZn7 | PBE | optimized geometry

Unit cell a=4.259 b=4.259 c=11.131 alpha=90.00 beta=90.00 gamma=90.00
Fractional positions:
1 Pr 0.000 0.500 0.234
2 Pr 0.500 0.000 0.766
3 Mg 0.000 0.000 0.500
4 Zn 0.000 0.000 0.000
5 Zn 0.000 0.500 0.649
6 Zn 0.000 0.500 0.873
7 Zn 0.500 0.000 0.127
8 Zn 0.500 0.000 0.351
9 Zn 0.500 0.500 0.000
10 Zn 0.500 0.500 0.500

E = -2.300 eV per atom

Entry 2:
Dy3Al2Si4 | PBE | optimized geometry

Unit cell a=5.732 b=5.732 c=8.175 alpha=102.67 beta=102.67 gamma=42.65
Fractional positions:
1 Dy 0.000 0.000 0.000
2 Dy 0.337 0.337 0.328
3 Dy 0.663 0.663 0.672
4 Al 0.386 0.386 0.723
5 Al 0.614 0.614 0.277
6 Si 0.060 0.060 0.392
7 Si 0.280 0.280 0.951
8 Si 0.720 0.720 0.049
9 Si 0.940 0.940 0.608

raw formation energy = -560 meV/atom
E = -5.336 eV per atom

Entry 3:
MnPAuSN | PBE | optimized geometry

Unit cell a=4.351 b=5.125 c=5.271 alpha=95.62 beta=99.10 gamma=101.98
Fractional positions:
1 Mn 0.000 0.000 0.000
2 P 0.094 0.557 0.059
3 Au 0.068 0.401 0.449
4 S 0.494 0.900 0.124
5 N 0.054 0.318 0.823

raw formation energy = 15 meV/atom
energy relative to the lowest polymorph listed for this composition = 0.111 eV per atom
E = -6.047 eV per atom

Entry 4:
AlTl2Fe | PBE | optimized geometry

Unit cell a=6.975 b=6.975 c=6.975 alpha=155.60 beta=141.12 gamma=46.44
Fractional positions:
1 Al 0.000 0.000 0.000
2 Tl 0.371 0.371 0.000
3 Tl 0.671 0.171 0.500
4 Fe 0.161 0.661 0.500

energy relative to the lowest polymorph listed for this composition = 0.106 eV per atom
E = -3.859 eV per atom

Entry 5:
La3PrIn | PBE | optimized geometry

Unit cell a=13.531 b=13.531 c=4.997 alpha=90.00 beta=90.00 gamma=158.75
Fractional positions:
1 La 0.053 0.947 0.750
2 La 0.250 0.750 0.750
3 La 0.443 0.557 0.750
4 La 0.557 0.443 0.250
5 La 0.750 0.250 0.250
6 La 0.947 0.053 0.250
7 Pr 0.347 0.653 0.250
8 Pr 0.653 0.347 0.750
9 In 0.153 0.847 0.250
10 In 0.847 0.153 0.750

energy relative to the lowest polymorph listed for this composition = 0.000 eV per atom
E = -4.672 eV per atom

Entry 6:
Sr8BiN4 | PBE | optimized geometry

Unit cell a=8.211 b=8.211 c=8.211 alpha=60.00 beta=60.00 gamma=60.00
Fractional positions:
1 Sr 0.071 0.643 0.643
2 Sr 0.100 0.100 0.100
3 Sr 0.100 0.100 0.699
4 Sr 0.100 0.699 0.100
5 Sr 0.643 0.071 0.643
6 Sr 0.643 0.643 0.071
7 Sr 0.643 0.643 0.643
8 Sr 0.699 0.100 0.100
9 Bi 0.250 0.250 0.250
10 N 0.383 0.872 0.872
11 N 0.872 0.383 0.872
12 N 0.872 0.872 0.383
13 N 0.872 0.872 0.872

raw formation energy = -491 meV/atom
E = -4.386 eV per atom